# LiMnBr2F

A relaxed LiMnBr2F crystal (PBE+U, the Alexandria database).

DOS(E_F)   0.000 states/eV per atom
Total DFT energy (no corrections)   -4.4422 eV per atom
Volume   23.81 Å³/atom

Structure (POSCAR):
```
LiMnBr2F
1.0
-1.988 3.571 3.573
-4.580 0.346 -2.894
-1.586 -3.032 2.147
Mn Li Br F
1 1 2 1
Direct
0.000 0.000 0.000
0.500 0.500 0.500
0.000 0.500 0.000
0.500 0.000 0.000
0.000 0.000 0.500
```